This record from the Alexandria database describes a relaxed Sc2UCdO8 crystal. The functional is GGA-PBE.

## Properties
* symmetry: C2/m
* uncorrected formation energy: -2495.3 meV per atom
* magnetic moment: 0.061 μB per atom

Cell and atoms, written as POSCAR:
```
Sc2UCdO8
1.0
3.553 -3.458 0.000
3.553 3.458 0.000
-0.414 0.000 6.680
Sc U Cd O
2 1 1 8
Cartesian
-0.051 0.000 1.706 Sc
6.742 0.000 4.974 Sc
3.553 0.000 0.000 U
3.346 0.000 3.340 Cd
3.346 2.191 3.340 O
3.553 2.096 0.000 O
1.766 0.000 5.246 O
2.063 0.000 1.563 O
4.629 0.000 5.116 O
4.925 0.000 1.434 O
3.553 -2.096 0.000 O
3.346 -2.191 3.340 O
```